Material: EuCrN2
Method: DFT, PBE
State: optimized geometry

Cell lengths 3.222, 3.222, 15.946 Å; angles 90.00, 90.00, 120.00 degrees
Sites, in units of the cell vectors:
Eu (0.000, 0.000, 0.000)
Eu (0.333, 0.667, 0.667)
Eu (0.667, 0.333, 0.333)
Cr (0.000, 0.000, 0.500)
Cr (0.333, 0.667, 0.167)
Cr (0.667, 0.333, 0.833)
N (0.000, 0.000, 0.232)
N (0.000, 0.000, 0.768)
N (0.333, 0.667, 0.434)
N (0.333, 0.667, 0.899)
N (0.667, 0.333, 0.101)
N (0.667, 0.333, 0.566)

Material: Eu3Cr5N12
Method: DFT, PBE
State: optimized geometry

Cell lengths 10.768, 10.768, 10.768 Å; angles 109.47, 109.47, 109.47 degrees
Sites, in units of the cell vectors:
Eu (0.125, 0.250, 0.375)
Eu (0.125, 0.375, 0.750)
Eu (0.250, 0.375, 0.125)
Eu (0.250, 0.875, 0.625)
Eu (0.375, 0.125, 0.250)
Eu (0.375, 0.750, 0.125)
Eu (0.625, 0.250, 0.875)
Eu (0.625, 0.875, 0.750)
Eu (0.750, 0.125, 0.375)
Eu (0.750, 0.625, 0.875)
Eu (0.875, 0.625, 0.250)
Eu (0.875, 0.750, 0.625)
Cr (0.000, 0.000, 0.000)
Cr (0.000, 0.000, 0.500)
Cr (0.000, 0.500, 0.000)
Cr (0.000, 0.500, 0.500)
Cr (0.125, 0.750, 0.875)
Cr (0.125, 0.875, 0.250)
Cr (0.250, 0.125, 0.875)
Cr (0.250, 0.625, 0.375)
Cr (0.375, 0.250, 0.625)
Cr (0.375, 0.625, 0.750)
Cr (0.500, 0.000, 0.000)
Cr (0.500, 0.000, 0.500)
Cr (0.500, 0.500, 0.000)
Cr (0.500, 0.500, 0.500)
Cr (0.625, 0.375, 0.250)
Cr (0.625, 0.750, 0.375)
Cr (0.750, 0.375, 0.625)
Cr (0.750, 0.875, 0.125)
Cr (0.875, 0.125, 0.750)
Cr (0.875, 0.250, 0.125)
N (0.005, 0.191, 0.111)
N (0.005, 0.314, 0.894)
N (0.080, 0.691, 0.686)
N (0.080, 0.889, 0.394)
N (0.106, 0.611, 0.420)
N (0.106, 0.995, 0.686)
N (0.111, 0.005, 0.191)
N (0.111, 0.606, 0.920)
N (0.186, 0.191, 0.580)
N (0.186, 0.495, 0.606)
N (0.191, 0.111, 0.005)
N (0.191, 0.580, 0.186)
N (0.309, 0.314, 0.920)
N (0.309, 0.495, 0.389)
N (0.314, 0.894, 0.005)
N (0.314, 0.920, 0.309)
N (0.389, 0.309, 0.495)
N (0.389, 0.580, 0.894)
N (0.394, 0.080, 0.889)
N (0.394, 0.814, 0.505)
N (0.420, 0.106, 0.611)
N (0.420, 0.814, 0.809)
N (0.495, 0.389, 0.309)
N (0.495, 0.606, 0.186)
N (0.505, 0.394, 0.814)
N (0.505, 0.611, 0.691)
N (0.580, 0.186, 0.191)
N (0.580, 0.894, 0.389)
N (0.606, 0.186, 0.495)
N (0.606, 0.920, 0.111)
N (0.611, 0.420, 0.106)
N (0.611, 0.691, 0.505)
N (0.686, 0.080, 0.691)
N (0.686, 0.106, 0.995)
N (0.691, 0.505, 0.611)
N (0.691, 0.686, 0.080)
N (0.809, 0.420, 0.814)
N (0.809, 0.889, 0.995)
N (0.814, 0.505, 0.394)
N (0.814, 0.809, 0.420)
N (0.889, 0.394, 0.080)
N (0.889, 0.995, 0.809)
N (0.894, 0.005, 0.314)
N (0.894, 0.389, 0.580)
N (0.920, 0.111, 0.606)
N (0.920, 0.309, 0.314)
N (0.995, 0.686, 0.106)
N (0.995, 0.809, 0.889)

| no. | total magnetization (μB/cell) | electronic total energy (eV per cell) | formation energy from raw total energies (eV per atom) |
| --- | --- | --- | --- |
| 1 | 26.63 | -116.91 | -0.605 |
| 2 | 84.01 | -750.82 | -0.443 |